(1)
YH8Pd2Rh3 | GGA-PBE | optimized geometry

The space group is R3m (No. 160, hexagonal axes) and the conventional cell measures 5.6497, 5.6497 and 14.0334 Å, with angles of 90.00, 90.00 and 120.00 degrees. The distinct sites, in fractional coordinates, are Y at (0.0000, 0.0000, 0.0000), H at (0.0000, 0.0000, 0.1552), H at (0.0000, 0.0000, 0.6137), H at (0.0171, 0.5086, 0.1360), H at (0.2048, 0.4097, 0.9408), Pd at (0.0000, 0.0000, 0.3765), Pd at (0.0000, 0.0000, 0.7456) and Rh at (0.1693, 0.3385, 0.2072).

As for the total energy: -4.9525 eV per atom. Its density of states at the Fermi level is 7.81 states/eV/cell.

=====

(2)
SrAs2Ir2 | GGA-PBE | optimized geometry

The space group is P4/mbm (No. 127) and the conventional cell measures 7.777, 7.777 and 3.096 Å, with angles of 90.00, 90.00 and 90.00 degrees. The distinct sites, in fractional coordinates, are Sr at (0.000, 0.000, 0.000), As at (0.153, 0.347, 0.500) and Ir at (0.127, 0.627, 0.000).

For the calculated formation energy, the calculation gives -4.5 kJ/mol of atoms. As for the total energy: -5.7868 eV per atom. Its density of states at the Fermi level is 5.91 states/eV/cell.

=====

(3)
CaZnTeI2 | GGA-PBE | optimized geometry

The space group is P4/mmm (No. 123) and the conventional cell measures 6.085, 6.085 and 6.321 Å, with angles of 90.00, 90.00 and 90.00 degrees. The distinct sites, in fractional coordinates, are Ca at (0.000, 0.000, 0.000), Zn at (0.500, 0.500, 0.500), Te at (0.000, 0.000, 0.500) and I at (0.000, 0.500, 0.000).

The offset from the most stable computed form is 205 meV/atom. As for the total energy: -2.2245 eV per atom. Its density of states at the Fermi level is 5.56 states/eV/cell.

=====

(4)
Ca2AsCl | GGA-PBE | optimized geometry

The space group is Pmmm (No. 47) and the conventional cell measures 3.717, 3.866 and 7.497 Å, with angles of 90.00, 90.00 and 90.00 degrees. The distinct sites, in fractional coordinates, are Ca at (0.000, 0.000, 0.204), As at (0.500, 0.500, 0.000) and Cl at (0.500, 0.000, 0.500).

As for the total energy: -4.0974 eV per atom. Its density of states at the Fermi level is 0.66 states/eV/cell.

=====

(5)
Y2PSe | GGA-PBE | optimized geometry

The space group is Pmmn (No. 59, origin choice 2) and the conventional cell measures 4.033, 5.715 and 8.182 Å, with angles of 90.00, 90.00 and 90.00 degrees. The distinct sites, in fractional coordinates, are Y at (0.250, 0.250, 0.111), Y at (0.250, 0.250, 0.647), P at (0.250, 0.750, 0.125) and Se at (0.250, 0.750, 0.620).

The offset from the most stable computed form is 5 meV/atom. As for the total energy: -7.2463 eV per atom. Its density of states at the Fermi level is 2.17 states/eV/cell.

=====

(6)
Er2Ge3Ru2 | GGA-PBE | optimized geometry

The space group is C2/m (No. 12) and the conventional cell measures 10.627, 4.201 and 7.221 Å, with angles of 90.00, 113.45 and 90.00 degrees. The distinct sites, in fractional coordinates, are Er at (0.088, 0.000, 0.317), Ge at (0.000, 0.500, 0.000), Ge at (0.223, 0.000, 0.746) and Ru at (0.167, 0.500, 0.869).

For the calculated formation energy, the calculation gives -34.5 kJ/mol of atoms. As for the total energy: -6.2906 eV per atom. Its density of states at the Fermi level is 9.48 states/eV/cell.